Record 1
Sr3TeSe2 | PBE | relaxed

## Properties
Formation energy (no corrections) (eV per atom): -1.945
DOS(E_F) (states/eV per atom): 0.000
Symmetry: Immm, No. 71

Unit cell a=4.5388 b=6.4673 c=7.8974 alpha=114.17 beta=106.70 gamma=90.00
Closest atoms and distances in Å follow each position.
Fractional positions:
Sr (0.3231, 0.3231, 0.6462)  4 Se 3.13-3.24, 2 Te 3.32
Sr (0.0000, 0.0000, 0.0000)  4 Se 3.20, 2 Te 3.23
Sr (0.6769, 0.6769, 0.3538)  4 Se 3.13-3.24, 2 Te 3.32
Te (0.0000, 0.5000, 0.0000)  6 Sr 3.23-3.32
Se (0.6652, 0.1652, 0.3305)  6 Sr 3.13-3.24
Se (0.3348, 0.8348, 0.6695)  6 Sr 3.13-3.24

***

Record 2
Li2PtW | PBE | relaxed

## Properties
DOS(E_F) (states/eV per atom): 0.644
Formation enthalpy at 0 K (kJ/mol of formula units): 60
Symmetry: Cmmm, No. 65

Unit cell a=5.1582 b=5.1582 c=2.6637 alpha=90.00 beta=90.00 gamma=121.06
Closest atoms and distances in Å follow each position.
Fractional positions:
Li (0.0000, 0.0000, 0.0000)  4 Li 2.54-2.66
Li (0.5000, 0.5000, 0.0000)  4 Li 2.54-2.66
Pt (0.5000, 0.0000, 0.5000)  2 W 2.54, 2 Pt 2.66
W (0.0000, 0.5000, 0.5000)  2 Pt 2.54, 2 W 2.66

***

Record 3
Si2SnRhO | PBE | relaxed

## Properties
Formation energy (no corrections) (eV per atom): -0.765
DOS(E_F) (states/eV per atom): 0.314
Symmetry: Cm, No. 8

Unit cell a=2.9497 b=2.9472 c=19.8424 alpha=90.00 beta=90.13 gamma=90.00
Closest atoms and distances in Å follow each position.
Fractional positions:
Si (0.9269, 0.0000, 0.7968)  1 O 1.64
Si (0.9269, 0.5000, 0.2968)  1 O 1.64
Si (0.9297, 0.0000, 0.9631)  1 O 1.66
Si (0.9297, 0.5000, 0.4631)  1 O 1.66
Sn (0.9217, 0.0000, 0.6188)  4 Sn 2.95, 4 Rh 3.14
Sn (0.9217, 0.5000, 0.1188)  4 Sn 2.95, 4 Rh 3.14
Rh (0.4262, 0.0000, 0.2372)  4 Si 2.40
Rh (0.4262, 0.5000, 0.7372)  4 Si 2.40
O (0.9278, 0.0000, 0.8793)  2 Si 1.64-1.66
O (0.9278, 0.5000, 0.3793)  2 Si 1.64-1.66

***

Record 4
KMg2Ga2 | PBE | relaxed

## Properties
DOS(E_F) (states/eV per atom): 0.575
Formation enthalpy at 0 K (kJ/mol of formula units): -31
Symmetry: I4/mmm, No. 139

Unit cell a=4.8548 b=4.8548 c=6.5159 alpha=68.13 beta=68.13 gamma=90.00
Closest atoms and distances in Å follow each position.
Fractional positions:
K (0.0000, 0.0000, 0.0000)  8 Ga 3.66, 8 Mg 3.68
Mg (0.7500, 0.2500, 0.5000)  4 Ga 2.86
Mg (0.2500, 0.7500, 0.5000)  4 Ga 2.86
Ga (0.3864, 0.3864, 0.2272)  1 Ga 2.52
Ga (0.6136, 0.6136, 0.7728)  1 Ga 2.52

***

Record 5
Li3MnTe | PBE | relaxed

## Properties
Formation energy (no corrections) (eV per atom): 0.092
DOS(E_F) (states/eV per atom): 0.998
Symmetry: Pm-3m, No. 221

Unit cell a=5.1677 b=5.1677 c=5.1677 alpha=90.00 beta=90.00 gamma=90.00
Closest atoms and distances in Å follow each position.
Fractional positions:
Te (0.0000, 0.0000, 0.0000)  6 Li 2.58
Mn (0.5000, 0.5000, 0.5000)  12 Li 3.65
Li (0.0000, 0.5000, 0.0000)  2 Te 2.58
Li (0.0000, 0.0000, 0.5000)  2 Te 2.58
Li (0.5000, 0.0000, 0.0000)  2 Te 2.58

***

Record 6
YNbTe2N | PBE | relaxed

## Properties
Formation energy (no corrections) (eV per atom): -0.431
DOS(E_F) (states/eV per atom): 0.594
Symmetry: P4/mmm, No. 123

Unit cell a=5.5962 b=5.5962 c=3.9396 alpha=90.00 beta=90.00 gamma=90.00
Closest atoms and distances in Å follow each position.
Fractional positions:
Y (0.5000, 0.5000, 0.5000)  8 Te 3.42
Nb (0.0000, 0.0000, 0.0000)  2 N 1.97
Te (0.0000, 0.5000, 0.0000)  2 Nb 2.80
Te (0.5000, 0.0000, 0.0000)  2 Nb 2.80
N (0.0000, 0.0000, 0.5000)  2 Nb 1.97

***

Record 7
SrLuAlGa | PBE | relaxed

## Properties
DOS(E_F) (states/eV per atom): 0.656
Formation enthalpy at 0 K (kJ/mol of formula units): -96
Symmetry: F-43m, No. 216

Unit cell a=5.2544 b=5.2544 c=5.2544 alpha=60.00 beta=60.00 gamma=60.00
Closest atoms and distances in Å follow each position.
Fractional positions:
Sr (0.5000, 0.5000, 0.5000)  4 Al 3.22, 4 Ga 3.22
Lu (0.0000, 0.0000, 0.0000)  4 Al 3.22, 4 Ga 3.22
Al (0.7500, 0.7500, 0.7500)  4 Sr 3.22, 4 Lu 3.22
Ga (0.2500, 0.2500, 0.2500)  4 Sr 3.22, 4 Lu 3.22

***

Record 8
ErUNi | PBE | relaxed

## Properties
DOS(E_F) (states/eV per atom): 1.924
Formation enthalpy at 0 K (kJ/mol of formula units): -57
Symmetry: P2_1/m, No. 11

Unit cell a=4.2162 b=5.5093 c=5.6664 alpha=103.93 beta=90.00 gamma=90.00
Closest atoms and distances in Å follow each position.
Fractional positions:
U (0.2500, 0.0291, 0.1412)  2 U 2.62, 3 Ni 2.64-2.74
U (0.7500, 0.9709, 0.8588)  2 U 2.62, 3 Ni 2.64-2.74
Ni (0.2500, 0.8855, 0.5710)  3 U 2.64-2.74, 2 Ni 2.68, 2 Er 2.86-2.92
Ni (0.7500, 0.1145, 0.4290)  3 U 2.64-2.74, 2 Ni 2.68, 2 Er 2.86-2.92
Er (0.2500, 0.4309, 0.7314)  4 Ni 2.86-3.00
Er (0.7500, 0.5691, 0.2686)  4 Ni 2.86-3.00

***

Record 9
NaCeTlPb | PBE | relaxed

## Properties
DOS(E_F) (states/eV per atom): 1.732
Formation enthalpy at 0 K (kJ/mol of formula units): -87
Symmetry: F-43m, No. 216

Unit cell a=5.4642 b=5.4642 c=5.4642 alpha=60.00 beta=60.00 gamma=60.00
Closest atoms and distances in Å follow each position.
Fractional positions:
Pb (0.7500, 0.7500, 0.7500)  4 Na 3.35, 4 Ce 3.35
Na (0.0000, 0.0000, 0.0000)  4 Tl 3.35, 4 Pb 3.35
Tl (0.2500, 0.2500, 0.2500)  4 Ce 3.35, 4 Na 3.35
Ce (0.5000, 0.5000, 0.5000)  4 Pb 3.35, 4 Tl 3.35

***

Record 10
Cs2ZnF5 | PBE | relaxed

## Properties
Formation energy (no corrections) (eV per atom): -2.263
DOS(E_F) (states/eV per atom): 0.533
Symmetry: I4mm, No. 107

Unit cell a=6.1119 b=6.1120 c=6.2473 alpha=119.32 beta=119.32 gamma=89.98
Closest atoms and distances in Å follow each position.
Fractional positions:
Cs (0.2494, 0.7497, 0.4992)  10 F 3.06-3.21
Cs (0.7497, 0.2494, 0.4992)  10 F 3.06-3.21
Zn (0.9755, 0.9755, 0.9510)  5 F 1.90-1.95
F (0.7943, 0.2277, 0.0219)  1 Zn 1.90
F (0.2277, 0.2277, 0.0220)  1 Zn 1.90
F (0.7941, 0.7941, 0.0216)  1 Zn 1.90
F (0.2277, 0.7943, 0.0219)  1 Zn 1.90
F (0.7586, 0.7586, 0.5173)  1 Zn 1.95